No. 1
BaNa5Li2 | PBE | relaxed

POSCAR file:
```
BaNa5Li2
1.0
-2.583 4.816 6.023
2.583 -4.816 6.023
2.583 4.816 -6.023
Ba Na Li
1 5 2
Cartesian
0.000 0.000 0.000
2.583 3.016 -1.869
2.583 3.016 1.869
0.000 4.816 0.000
0.000 1.800 4.154
0.000 1.800 7.893
2.583 0.000 2.856
0.000 4.816 3.167
```

Results
Its space group is Immm (71). Its electronic total energy is -11.9 eV/f.u. Its crystal system is orthorhombic. Its magnetization is 0.00 μB per atom.


No. 2
Ba2Na2Li15 | PBE | relaxed

POSCAR file:
```
Ba2Na2Li15
1.0
5.338 3.082 5.221
-5.338 3.082 5.221
0.000 -6.164 5.221
Ba Na Li
2 2 15
Cartesian
0.000 0.000 2.377
0.000 0.000 13.286
0.000 0.000 6.290
0.000 0.000 9.373
-2.669 -1.541 5.221
0.000 -3.040 5.037
-2.633 1.520 5.037
-1.584 -2.744 7.831
-3.169 0.000 7.831
-2.633 -1.520 10.625
-2.669 1.541 10.442
1.584 -2.744 7.831
0.000 3.082 5.221
-1.584 2.744 7.831
2.633 1.520 5.037
3.169 0.000 7.831
1.584 2.744 7.831
2.633 -1.520 10.625
0.000 3.040 10.625
```

Results
Its space group is R-3m (166). Its electronic total energy is -34.6 eV/f.u. Its crystal system is trigonal. Its magnetization is 0.00 μB per atom.


No. 3
Ba2Na5Li12 | PBE | relaxed

POSCAR file:
```
Ba2Na5Li12
1.0
5.521 3.188 5.391
-5.521 3.188 5.391
0.000 -6.375 5.391
Ba Na Li
2 5 12
Cartesian
0.000 0.000 2.421
0.000 0.000 13.753
-2.761 -1.594 5.391
0.000 0.000 6.543
-2.761 1.594 10.782
0.000 3.188 5.391
0.000 0.000 9.631
0.000 -3.263 5.246
-2.826 1.632 5.246
-1.691 -2.929 8.087
-3.382 0.000 8.087
-2.826 -1.632 10.928
1.691 -2.929 8.087
-1.691 2.929 8.087
2.826 1.632 5.246
3.382 0.000 8.087
1.691 2.929 8.087
2.826 -1.632 10.928
0.000 3.263 10.928
```

Results
Its space group is R-3m (166). Its electronic total energy is -32.3 eV/f.u. Its crystal system is trigonal. Its magnetization is 0.00 μB per atom.


| no. | calculated formation energy (eV/atom) |
| --- | --- |
| 1 | 0.059 |
| 2 | 0.031 |
| 3 | 0.057 |